The following is a DFT calculation (PBE) of an optimized crystal structure of BaCu2Te.

Cell: 5.821 5.821 4.905 Å, 66.76 66.76 110.21°
Fractional coordinates of all 4 atoms:
Ba 0.000 0.500 0.500
Cu 0.000 0.000 0.000
Cu 0.500 0.500 0.000
Te 0.500 0.000 0.500

Computed properties:
VASP energy: -3.25 eV/atom
SG: C2/m
Total magnetic moment: 0.000 μB/atom
ΔE_f (raw): 61 meV/atom